VASP calculation (GGA-PBE) on a relaxed structure of KAs2Au.

Lattice parameters (Å, degrees): 5.899 5.899 2.807 90.10 90.10 115.85
Positions (direct):
K 0.000 0.000 0.000
As 0.000 0.500 0.500
As 0.500 0.000 0.500
Au 0.500 0.500 0.000

Calculated values
- magnetic moment (μB/cell) = 0.0
- E above lowest polymorph (meV per atom) = 298.6
- V (Å³/cell) = 87.9
- DFT formation energy (eV/atom) = 0.139
- final energy (eV/cell) = -13.12